Run one
DFT (PBE+U) results for a geometry-optimized PWNF2 structure.

Calculated values
Space group   P4/mmm
D(E_F)   1.819 states/eV/cell
Crystal system   tetragonal

```
PWNF2
1.0
4.247 0.000 0.000
0.000 4.247 0.000
0.000 0.000 4.100
P F N W
1 2 1 1
Cartesian
2.124 2.124 2.050
0.000 2.124 0.000
2.124 0.000 0.000
0.000 0.000 2.050
0.000 0.000 0.000
```

=====

Run two
DFT (PBE+U) results for a geometry-optimized PWNF2 structure.

Calculated values
Space group   P4/mmm
D(E_F)   1.505 states/eV/cell
Crystal system   tetragonal

```
PWNF2
1.0
-0.603 -4.160 2.098
4.632 -0.304 0.728
-0.357 1.516 2.903
F P W N
2 1 1 1
Cartesian
-0.301 -2.080 1.049
2.316 -0.152 0.364
0.000 0.000 0.000
1.836 -1.474 2.865
-0.178 0.758 1.452
```

=====

Most stable structure among those shown: run one.